# MgTc2Mo, relaxed, DFT GGA-PBE
# raw total energy = -0.5983 Ry/atom
# DOS at the Fermi energy = 5.4 states/eV/f.u.
# theoretical density = 8.33 g/cm³
data_MgTc2Mo
_space_group_name_H-M_alt 'P 4/m m m'
_space_group_IT_number 123
_space_group_name_Hall '-P 4 2'
_cell_length_a 3.1478
_cell_length_b 3.1478
_cell_length_c 6.3616
_cell_angle_alpha 90.00
_cell_angle_beta 90.00
_cell_angle_gamma 90.00
loop_
_atom_site_label
_atom_site_type_symbol
_atom_site_fract_x
_atom_site_fract_y
_atom_site_fract_z
Mg1 Mg 0.0000 0.0000 0.0000
Tc1 Tc 0.5000 0.5000 0.2714
Mo1 Mo 0.0000 0.0000 0.5000